Computed, not measured: a relaxed structure of BaMgTc2 at the PBE level of DFT.

Cell lengths 5.8044, 5.8044, 2.8103 Å; angles 90.00, 90.00, 118.17 degrees
Last column: nearest neighbours and their distance in Å.
Atoms (fractional coordinates):
Ba  0.5000  0.0000  0.5000  2 Ba 2.81, 2 Mg 2.98
Mg  0.0000  0.5000  0.5000  2 Mg 2.81, 2 Ba 2.98
Tc  0.0000  0.0000  0.0000  4 Tc 2.81-2.98
Tc  0.5000  0.5000  0.0000  4 Tc 2.81-2.98

Calculated values
Symmetry: Cmmm
Formation energy (eV/atom): 1.141